No. 1
The following is a GGA-PBE calculation of a relaxed LiSbPF2 crystal, from the Alexandria database.

## Properties
As for the total magnetization: 0.50 μB per formula unit. As for the raw formation energy: -5.677 eV per formula unit. As for the space group: P4/mmm. For the total energy, the calculation gives -0.3067 Ry/atom.

Cell: 3.824 4.950 3.824 Å, 90.00 90.00 90.00°
Last column: magnetic moment on the atom in μB.
Fractional coordinates of all 5 atoms:
Sb (0.500, 0.500, 0.500)  -0.01
F (0.000, 0.000, 0.500)  0.07
F (0.500, 0.000, 0.000)  0.05
Li (0.000, 0.000, 0.000)  0.01
P (0.000, 0.500, 0.000)  0.20

***

No. 2
The following is a GGA-PBE calculation of a relaxed LiTl2PF crystal, from the Alexandria database.

## Properties
As for the total magnetization: 0.00 μB per formula unit. As for the raw formation energy: -3.564 eV per formula unit. As for the space group: P4/mmm. For the total energy, the calculation gives -0.2571 Ry/atom.

Cell: 5.576 3.570 5.576 Å, 90.00 90.00 90.00°
Fractional coordinates of all 5 atoms:
P (0.500, 0.500, 0.500)
Tl (0.000, 0.000, 0.500)
Tl (0.500, 0.000, 0.000)
Li (0.000, 0.500, 0.000)
F (0.000, 0.000, 0.000)

***

No. 3
The following is a GGA-PBE calculation of a relaxed Li2PaF6 crystal, from the Alexandria database.

## Properties
As for the total magnetization: 1.00 μB per formula unit. As for the raw formation energy: -30.778 eV per formula unit. As for the space group: R3. For the total energy, the calculation gives -0.4518 Ry/atom.

Cell: 5.279 5.279 5.998 Å, 63.89 63.89 60.00°
Last column: magnetic moment on the atom in μB.
Fractional coordinates of all 9 atoms:
Li (0.824, 0.824, 0.528)  0.00
Li (0.520, 0.520, 0.441)  0.00
Pa (0.323, 0.323, 0.031)  1.02
F (0.700, 0.463, 0.735)  -0.01
F (0.102, 0.700, 0.735)  -0.01
F (0.463, 0.102, 0.735)  -0.01
F (0.239, 0.601, 0.267)  -0.01
F (0.894, 0.239, 0.267)  -0.01
F (0.601, 0.894, 0.267)  -0.01